No. 1
Density functional theory data (GGA-PBE) for Mn2ReTe after structural relaxation.

SG: P4/mmm (123)
Calculated density in kg/m³: 11039
Raw formation energy in eV per formula unit: 1.8

a b c (Å): 2.9801 2.9801 7.1761
angles (deg): 90.00 90.00 90.03
With the nearest neighbours (Å) after each atom.
Element x y z (fractional)
Re 0.5000 0.5000 0.2500  8 Mn 2.62
Mn 0.0000 0.0000 0.4673  4 Re 2.62, 4 Te 2.92-2.93
Mn 0.0000 0.0000 0.0327  4 Re 2.62, 4 Te 2.92-2.93
Te 0.5000 0.5000 0.7500  8 Mn 2.92-2.93, 4 Te 2.98


No. 2
Density functional theory data (GGA-PBE) for MnReTe after structural relaxation.

Energy above the most stable polymorph in this dataset in meV per atom: 152
SG: P3m1 (156)
Calculated density in kg/m³: 11851
Raw formation energy in eV per formula unit: 1.8

a b c (Å): 3.1080 3.1080 6.1766
angles (deg): 90.00 90.00 120.00
With the nearest neighbours (Å) after each atom.
Element x y z (fractional)
Mn 0.0000 0.0000 0.0226  3 Re 2.50
Re 0.3333 0.6667 0.3055  3 Mn 2.50
Te 0.6667 0.3333 0.6719  3 Mn 2.81, 3 Re 2.89, 6 Te 3.11


No. 3
Density functional theory data (GGA-PBE) for Mn2VReTe after structural relaxation.

Energy above the most stable polymorph in this dataset in meV per atom: 408
SG: P4/mmm (123)
Calculated density in kg/m³: 7330
Raw formation energy in eV per formula unit: 9.3

a b c (Å): 4.6726 4.9243 4.6726
angles (deg): 90.00 90.00 90.00
With the nearest neighbours (Å) after each atom.
Element x y z (fractional)
Mn 0.0000 0.0000 0.5000  2 Te 2.34
Mn 0.5000 0.0000 0.0000  2 Te 2.34
Te 0.0000 0.0000 0.0000  4 Mn 2.34, 2 Re 2.46
Re 0.0000 0.5000 0.0000  2 Te 2.46
V 0.5000 0.5000 0.5000  4 Re 3.30, 8 Mn 3.39


No. 4
Density functional theory data (GGA-PBE) for Mn2VReTe after structural relaxation.

Energy above the most stable polymorph in this dataset in meV per atom: 0
SG: P4/mmm (123)
Calculated density in kg/m³: 8512
Raw formation energy in eV per formula unit: 7.3

a b c (Å): 4.3465 4.9010 4.3465
angles (deg): 90.00 90.00 90.00
With the nearest neighbours (Å) after each atom.
Element x y z (fractional)
V 0.0000 0.0000 0.0000  4 Mn 2.17
Mn 0.5000 0.0000 0.0000  2 V 2.17
Te 0.0000 0.5000 0.0000  2 V 2.45
Mn 0.0000 0.0000 0.5000  2 V 2.17
Re 0.5000 0.5000 0.5000  4 Te 3.07, 8 Mn 3.28


No. 5
Density functional theory data (GGA-PBE) for Th2MnRe3 after structural relaxation.

SG: C2/m (12)
Calculated density in kg/m³: 15185
Raw total energy in eV per atom: -10.31

a b c (Å): 5.3958 5.3958 5.6111
angles (deg): 90.15 118.79 119.76
With the nearest neighbours (Å) after each atom.
Element x y z (fractional)
Re 0.5000 0.5000 0.5000  4 Re 2.70-2.71, 2 Mn 2.81
Mn 0.0000 0.0000 0.0000  6 Re 2.80-2.81
Re 0.5000 0.0000 0.5000  4 Re 2.70, 2 Mn 2.80
Th 0.2469 0.6234 0.8703  3 Mn 3.17-3.18, 9 Re 3.20-3.33, 4 Th 3.34-3.45
Re 0.0000 0.0000 0.5000  4 Re 2.70-2.71, 2 Mn 2.81
Th 0.7531 0.3766 0.1297  3 Mn 3.17-3.18, 9 Re 3.20-3.33, 4 Th 3.34-3.45


No. 6
Density functional theory data (GGA-PBE) for ThMn2Re after structural relaxation.

SG: R-3m (166)
Calculated density in kg/m³: 11938
Raw total energy in eV per atom: -8.90

a b c (Å): 3.0143 3.0143 9.4964
angles (deg): 80.87 80.87 60.00
With the nearest neighbours (Å) after each atom.
Element x y z (fractional)
Re 0.0000 0.0000 0.0000  6 Mn 2.61
Mn 0.2637 0.2637 0.2089  3 Re 2.61
Mn 0.7363 0.7363 0.7911  3 Re 2.61
Th 0.5000 0.5000 0.5000  6 Th 3.01, 6 Mn 3.23


No. 7
Density functional theory data (GGA-PBE) for ThMnRe after structural relaxation.

Energy above the most stable polymorph in this dataset in meV per atom: 480
SG: Fddd (70)
Calculated density in kg/m³: 12316

a b c (Å): 5.1750 5.7918 9.8626
angles (deg): 83.27 74.79 63.46
With the nearest neighbours (Å) after each atom.
Element x y z (fractional)
Mn 0.5931 0.0000 0.8138  4 Re 2.66-2.95
Re 0.1264 0.0000 0.7471  4 Mn 2.66-2.95, 4 Th 2.86-2.89, 2 Re 2.90
Th 0.8451 0.3098 0.0000  4 Re 2.86-2.89
Re 0.8736 0.0000 0.2529  4 Mn 2.66-2.95, 4 Th 2.86-2.89, 2 Re 2.90
Re 0.8764 0.5000 0.2471  4 Mn 2.66-2.95, 4 Th 2.86-2.89, 2 Re 2.90
Th 0.1549 0.6902 0.0000  4 Re 2.86-2.89
Mn 0.4069 0.0000 0.1862  4 Re 2.66-2.95
Th 0.9049 0.1902 0.5000  4 Re 2.86-2.89
Mn 0.3431 0.5000 0.3138  4 Re 2.66-2.95
Th 0.5951 0.8098 0.5000  4 Re 2.86-2.89
Re 0.6236 0.5000 0.7529  4 Mn 2.66-2.95, 4 Th 2.86-2.89, 2 Re 2.90
Mn 0.1569 0.5000 0.6862  4 Re 2.66-2.95


No. 8
Density functional theory data (GGA-PBE) for Th3Mn2Re7 after structural relaxation.

SG: R-3m (166)
Calculated density in kg/m³: 15591
Raw total energy in eV per atom: -10.68

a b c (Å): 5.3513 5.3513 9.5718
angles (deg): 73.77 73.77 60.00
With the nearest neighbours (Å) after each atom.
Element x y z (fractional)
Th 0.1440 0.1440 0.5681  12 Re 3.15-3.36, 3 Th 3.33
Re 0.5812 0.0756 0.7620  2 Mn 2.64-2.67, 5 Re 2.65-2.84
Re 0.4188 0.9244 0.2380  2 Mn 2.64-2.67, 5 Re 2.65-2.84
Mn 0.6655 0.6655 0.0034  6 Re 2.64-2.67
Th 0.0000 0.0000 0.0000  6 Mn 3.09, 12 Re 3.44
Mn 0.3345 0.3345 0.9966  6 Re 2.64-2.67
Th 0.8560 0.8560 0.4320  12 Re 3.15-3.36, 3 Th 3.33
Re 0.4188 0.4188 0.2380  2 Mn 2.64-2.67, 5 Re 2.65-2.84
Re 0.5812 0.5812 0.7620  2 Mn 2.64-2.67, 5 Re 2.65-2.84
Re 0.5000 0.5000 0.5000  6 Re 2.84, 6 Th 3.15
Re 0.0756 0.5812 0.7620  2 Mn 2.64-2.67, 5 Re 2.65-2.84
Re 0.9244 0.4188 0.2380  2 Mn 2.64-2.67, 5 Re 2.65-2.84


No. 9
Density functional theory data (GGA-PBE) for ThMn10Re2 after structural relaxation.

SG: Cmcm (63)
Calculated density in kg/m³: 10913
Raw total energy in eV per atom: -9.49

a b c (Å): 6.5123 6.5123 8.3436
angles (deg): 90.00 90.00 97.12
With the nearest neighbours (Å) after each atom.
Element x y z (fractional)
Mn 0.5995 0.4005 0.5810  5 Mn 2.37-2.59
Mn 0.1742 0.8258 0.6120  3 Mn 2.30-2.50, 2 Re 2.46
Mn 0.1742 0.8258 0.8880  3 Mn 2.30-2.50, 2 Re 2.46
Mn 0.2610 0.4790 0.7500  2 Mn 2.24-2.45
Th 0.1193 0.8807 0.2500  16 Mn 3.07-3.36, 4 Re 3.26
Mn 0.4005 0.5995 0.4190  5 Mn 2.37-2.59
Mn 0.7629 0.7629 0.5000  6 Mn 2.38-2.61, 2 Re 2.44
Mn 0.2371 0.2371 0.0000  6 Mn 2.38-2.61, 2 Re 2.44
Mn 0.5210 0.7390 0.7500  2 Mn 2.24-2.45
Mn 0.2371 0.2371 0.5000  6 Mn 2.38-2.61, 2 Re 2.44
Mn 0.7629 0.7629 0.0000  6 Mn 2.38-2.61, 2 Re 2.44
Re 0.5000 0.0000 0.0000  10 Mn 2.44-2.70
Mn 0.5995 0.4005 0.9190  5 Mn 2.37-2.59
Th 0.8807 0.1193 0.7500  16 Mn 3.07-3.36, 4 Re 3.26
Mn 0.8258 0.1742 0.3880  3 Mn 2.30-2.50, 2 Re 2.46
Mn 0.3665 0.1313 0.7500  7 Mn 2.38-2.59, 2 Re 2.45
Mn 0.4790 0.2610 0.2500  2 Mn 2.24-2.45
Mn 0.8687 0.6335 0.7500  7 Mn 2.38-2.59, 2 Re 2.45
Mn 0.8258 0.1742 0.1120  3 Mn 2.30-2.50, 2 Re 2.46
Mn 0.1313 0.3665 0.2500  7 Mn 2.38-2.59, 2 Re 2.45
Mn 0.7390 0.5210 0.2500  2 Mn 2.24-2.45
Re 0.0000 0.5000 0.0000  10 Mn 2.44-2.70
Re 0.0000 0.5000 0.5000  10 Mn 2.44-2.70
Mn 0.6335 0.8687 0.2500  7 Mn 2.38-2.59, 2 Re 2.45
Re 0.5000 0.0000 0.5000  10 Mn 2.44-2.70
Mn 0.4005 0.5995 0.0810  5 Mn 2.37-2.59


No. 10
Density functional theory data (GGA-PBE) for ThMnRe after structural relaxation.

Energy above the most stable polymorph in this dataset in meV per atom: 0
SG: Imma (74)
Calculated density in kg/m³: 13803

a b c (Å): 5.4719 5.4719 5.4719
angles (deg): 88.18 122.36 119.77
With the nearest neighbours (Å) after each atom.
Element x y z (fractional)
Mn 0.5000 0.0000 0.5000  4 Re 2.74, 2 Mn 2.75
Th 0.7500 0.8734 0.1234  6 Mn 3.13-3.26, 6 Re 3.20-3.22, 4 Th 3.30-3.36
Re 0.5000 0.5000 0.5000  2 Re 2.64, 4 Mn 2.74
Re 0.0000 0.5000 0.0000  2 Re 2.64, 4 Mn 2.74
Mn 0.0000 0.5000 0.5000  4 Re 2.74, 2 Mn 2.75
Th 0.2500 0.1266 0.8766  6 Mn 3.13-3.26, 6 Re 3.20-3.22, 4 Th 3.30-3.36


No. 11
Density functional theory data (GGA-PBE) for TiMnRe2 after structural relaxation.

SG: P4/mmm (123)
Calculated density in kg/m³: 13849
Raw total energy in eV per atom: -10.64

a b c (Å): 3.0636 3.0636 6.0712
angles (deg): 90.00 90.00 90.00
With the nearest neighbours (Å) after each atom.
Element x y z (fractional)
Ti 0.5000 0.5000 0.5000  8 Re 2.68
Re 0.0000 0.0000 0.7598  4 Mn 2.61, 4 Ti 2.68, 1 Re 2.92
Mn 0.5000 0.5000 0.0000  8 Re 2.61
Re 0.0000 0.0000 0.2402  4 Mn 2.61, 4 Ti 2.68, 1 Re 2.92


No. 12
Density functional theory data (GGA-PBE) for TiMn2Re2 after structural relaxation.

Energy above the most stable polymorph in this dataset in meV per atom: 0
SG: P4/mbm (127)
Calculated density in kg/m³: 12652

a b c (Å): 7.0884 7.0884 2.7697
angles (deg): 90.00 90.00 90.00
With the nearest neighbours (Å) after each atom.
Element x y z (fractional)
Mn 0.1329 0.3671 0.0000  6 Re 2.46-2.53, 1 Mn 2.66
Re 0.6643 0.8357 0.5000  6 Mn 2.46-2.53
Mn 0.3671 0.8671 0.0000  6 Re 2.46-2.53, 1 Mn 2.66
Mn 0.6329 0.1329 0.0000  6 Re 2.46-2.53, 1 Mn 2.66
Ti 0.5000 0.5000 0.0000  4 Mn 2.77, 2 Ti 2.77, 8 Re 2.99
Mn 0.8671 0.6329 0.0000  6 Re 2.46-2.53, 1 Mn 2.66
Re 0.1643 0.6643 0.5000  6 Mn 2.46-2.53
Ti 0.0000 0.0000 0.0000  4 Mn 2.77, 2 Ti 2.77, 8 Re 2.99
Re 0.8357 0.3357 0.5000  6 Mn 2.46-2.53
Re 0.3357 0.1643 0.5000  6 Mn 2.46-2.53


No. 13
Density functional theory data (GGA-PBE) for TiMnRe3 after structural relaxation.

Energy above the most stable polymorph in this dataset in meV per atom: 1014
SG: Pm-3m (221)
Calculated density in kg/m³: 12339

a b c (Å): 4.4649 4.4649 4.4649
angles (deg): 90.00 90.00 90.00
With the nearest neighbours (Å) after each atom.
Element x y z (fractional)
Re 0.0000 0.0000 0.5000  2 Ti 2.23
Ti 0.0000 0.0000 0.0000  6 Re 2.23
Mn 0.5000 0.5000 0.5000  12 Re 3.16
Re 0.0000 0.5000 0.0000  2 Ti 2.23
Re 0.5000 0.0000 0.0000  2 Ti 2.23


No. 14
Density functional theory data (GGA-PBE) for Ti2MnRe after structural relaxation.

Energy above the most stable polymorph in this dataset in meV per atom: 0
SG: Fm-3m (225)
Calculated density in kg/m³: 9793

a b c (Å): 4.3229 4.3229 4.3229
angles (deg): 60.00 60.00 60.00
With the nearest neighbours (Å) after each atom.
Element x y z (fractional)
Re 0.5000 0.5000 0.5000  8 Ti 2.65
Mn 0.0000 0.0000 0.0000  8 Ti 2.65
Ti 0.7500 0.7500 0.7500  4 Re 2.65, 4 Mn 2.65
Ti 0.2500 0.2500 0.2500  4 Re 2.65, 4 Mn 2.65


No. 15
Density functional theory data (GGA-PBE) for TiMn2Re2 after structural relaxation.

Energy above the most stable polymorph in this dataset in meV per atom: 117
SG: I4/mmm (139)
Calculated density in kg/m³: 11676

a b c (Å): 3.9280 3.9280 5.6210
angles (deg): 69.55 69.55 90.00
With the nearest neighbours (Å) after each atom.
Element x y z (fractional)
Re 0.2500 0.7500 0.5000  4 Mn 2.42
Ti 0.0000 0.0000 0.0000  8 Mn 2.96, 8 Re 3.13
Re 0.7500 0.2500 0.5000  4 Mn 2.42
Mn 0.6052 0.6052 0.7895  1 Mn 2.06
Mn 0.3948 0.3948 0.2105  1 Mn 2.06


No. 16
Density functional theory data (GGA-PBE) for Ti4MnRe after structural relaxation.

Energy above the most stable polymorph in this dataset in meV per atom: 0
SG: P4/mmm (123)
Calculated density in kg/m³: 7809

a b c (Å): 3.1014 3.1014 9.5639
angles (deg): 89.99 89.99 90.00
With the nearest neighbours (Å) after each atom.
Element x y z (fractional)
Re 0.5000 0.5000 0.5000  8 Ti 2.65
Ti 0.5001 0.5001 0.1451  4 Mn 2.59-2.60, 5 Ti 2.78-2.90
Mn 0.0000 0.0000 0.0000  8 Ti 2.59-2.60
Ti 0.0000 0.0000 0.6565  4 Re 2.65, 4 Ti 2.90
Ti 0.4999 0.4999 0.8549  4 Mn 2.59-2.60, 5 Ti 2.78-2.90
Ti 0.0000 0.0000 0.3435  4 Re 2.65, 4 Ti 2.90


No. 17
Density functional theory data (GGA-PBE) for Ti4MnRe after structural relaxation.

Energy above the most stable polymorph in this dataset in meV per atom: 397
SG: R-3m (166)
Calculated density in kg/m³: 6863

a b c (Å): 4.3507 4.3497 6.8628
angles (deg): 71.54 71.52 59.99
With the nearest neighbours (Å) after each atom.
Element x y z (fractional)
Ti 0.1202 0.1202 0.6394  1 Mn 2.30
Re 0.5000 0.5000 0.5000  8 Ti 2.49-2.66
Ti 0.6301 0.6302 0.1096  1 Re 2.49, 3 Mn 2.61
Mn 0.0000 0.0000 0.0000  2 Ti 2.30
Ti 0.8798 0.8798 0.3606  1 Mn 2.30
Ti 0.3699 0.3698 0.8904  1 Re 2.49, 3 Mn 2.61


No. 18
Density functional theory data (GGA-PBE) for TiMn3Re after structural relaxation.

Energy above the most stable polymorph in this dataset in meV per atom: 322
SG: Pm-3m (221)
Calculated density in kg/m³: 9343

a b c (Å): 4.1388 4.1388 4.1388
angles (deg): 90.00 90.00 90.00
With the nearest neighbours (Å) after each atom.
Element x y z (fractional)
Mn 0.5000 0.0000 0.0000  2 Ti 2.07
Re 0.5000 0.5000 0.5000  12 Mn 2.93
Mn 0.0000 0.0000 0.5000  2 Ti 2.07
Mn 0.0000 0.5000 0.0000  2 Ti 2.07
Ti 0.0000 0.0000 0.0000  6 Mn 2.07


No. 19
Density functional theory data (GGA-PBE) for Ti2MnRe after structural relaxation.

Energy above the most stable polymorph in this dataset in meV per atom: 654
SG: I-42d (122)
Calculated density in kg/m³: 9195

a b c (Å): 6.8134 6.8134 5.4846
angles (deg): 51.60 51.60 90.00
With the nearest neighbours (Å) after each atom.
Element x y z (fractional)
Ti 0.3750 0.3921 0.7500  2 Mn 2.42, 2 Re 2.58, 2 Ti 2.63
Mn 0.2500 0.7500 0.5000  4 Ti 2.42, 2 Re 2.62
Re 0.0000 0.0000 0.0000  4 Ti 2.58, 2 Mn 2.62
Ti 0.8750 0.8579 0.7500  2 Mn 2.42, 2 Re 2.58, 2 Ti 2.63
Re 0.7500 0.2500 0.5000  4 Ti 2.58, 2 Mn 2.62
Ti 0.1421 0.6250 0.2500  2 Mn 2.42, 2 Re 2.58, 2 Ti 2.63
Ti 0.6079 0.1250 0.2500  2 Mn 2.42, 2 Re 2.58, 2 Ti 2.63
Mn 0.5000 0.5000 0.0000  4 Ti 2.42, 2 Re 2.62


No. 20
Density functional theory data (GGA-PBE) for TiMnRe3 after structural relaxation.

Energy above the most stable polymorph in this dataset in meV per atom: 0
SG: Pm-3m (221)
Calculated density in kg/m³: 12792

a b c (Å): 4.4116 4.4116 4.4116
angles (deg): 90.00 90.00 90.00
With the nearest neighbours (Å) after each atom.
Element x y z (fractional)
Mn 0.0000 0.0000 0.0000  6 Re 2.21
Re 0.0000 0.0000 0.5000  2 Mn 2.21
Ti 0.5000 0.5000 0.5000  12 Re 3.12
Re 0.0000 0.5000 0.0000  2 Mn 2.21
Re 0.5000 0.0000 0.0000  2 Mn 2.21